VASP calculation (GGA-PBE) on a relaxed structure of CsRePO2.

Cell: 4.0889 4.0889 6.9990 Å, 90.00 90.00 90.00°
Space group P4/mmm (No. 123)
One atom of each set of equivalent atoms:
Cs1 0.0000 0.0000 0.0000 x1
Re1 0.5000 0.5000 0.5000 x1
P1 0.0000 0.0000 0.5000 x1
O1 0.0000 0.5000 0.0000 x2

## Properties
ΔE to the lowest computed polymorph: 2161 meV/atom